Entry 1:
The following is a DFT calculation (PBE) of a relaxed AsPd6Pt2 crystal.

Cell lengths 4.6774, 7.9758, 7.9758 Å; angles 81.80, 82.01, 82.01 degrees
Atoms (fractional coordinates):
As: 0.7500 0.8575 0.1425
As: 0.2500 0.1425 0.8575
Pd: 0.2854 0.0383 0.1884
Pd: 0.2429 0.9766 0.6079
Pd: 0.4584 0.7269 0.3975
Pd: 0.5416 0.2731 0.6025
Pd: 0.7854 0.1884 0.0383
Pd: 0.2571 0.3921 0.0234
Pd: 0.0416 0.6025 0.2731
Pd: 0.7571 0.0234 0.3921
Pd: 0.2146 0.8116 0.9617
Pd: 0.7146 0.9617 0.8116
Pd: 0.9584 0.3975 0.7269
Pd: 0.7429 0.6079 0.9766
Pt: 0.9071 0.7246 0.5933
Pt: 0.5929 0.4067 0.2754
Pt: 0.0929 0.2754 0.4067
Pt: 0.4071 0.5933 0.7246

Output
Crystal system: monoclinic
DOS at the Fermi energy: 9.2 states/eV/f.u.
Symmetry: C2/c, No. 15
E_form: -0.060 eV per atom

Entry 2:
The following is a DFT calculation (PBE) of a relaxed LiGdHo crystal.

Cell lengths 3.6582, 3.6582, 6.7494 Å; angles 105.72, 105.72, 90.00 degrees
Last column: magnetic moment on the atom in μB.
Atoms (fractional coordinates):
Li: 0.6642 0.6642 0.3284  -0.01
Gd: 0.3233 0.3233 0.6466  7.32
Ho: 0.0125 0.0125 0.0250  0.20

Output
Offset from the most stable computed form: 0 meV per atom
Crystal system: tetragonal
DOS at the Fermi energy: 3.7 states/eV/f.u.
Symmetry: I4mm, No. 107
E_form: 0.082 eV per atom

Entry 3:
The following is a DFT calculation (PBE) of a relaxed Cs3RuI6 crystal.

Cell lengths 9.2426, 8.5607, 8.5607 Å; angles 59.90, 62.66, 62.66 degrees
Last column: magnetic moment on the atom in μB.
Atoms (fractional coordinates):
I: 0.6478 0.3312 0.7806  0.01
I: 0.2162 0.7023 0.7023  0.01
I: 0.7838 0.2977 0.2977  0.01
I: 0.6478 0.7806 0.3312  0.01
I: 0.3522 0.2194 0.6688  0.01
I: 0.3522 0.6688 0.2194  0.01
Ru: 0.5000 0.5000 0.5000  0.78
Cs: 0.2657 0.2351 0.2351  0.00
Cs: 0.0000 0.0000 0.0000  0.00
Cs: 0.7343 0.7649 0.7649  0.00

Output
Crystal system: monoclinic
Formation energy from raw total energies: -855 kJ/mol of formula units
DOS at the Fermi energy: 10.0 states/eV/f.u.
Symmetry: C2/m, No. 12

Entry 4:
The following is a DFT calculation (PBE) of a relaxed PaNiAsPt crystal.

Cell lengths 4.6363, 4.6363, 4.6363 Å; angles 60.00, 60.00, 60.00 degrees
Atoms (fractional coordinates):
As: 0.5000 0.5000 0.5000
Pa: 0.2500 0.2500 0.2500
Ni: 0.0000 0.0000 0.0000
Pt: 0.7500 0.7500 0.7500

Output
Crystal system: cubic
DOS at the Fermi energy: 4.3 states/eV/f.u.
Symmetry: F-43m, No. 216
E_form: -0.435 eV per atom

Sequential total DFT energy (no corrections) output: -96.9 -20.3 -30.0 -27.7 eV for the cell shown